P) # Nd3Sb2As

Crystalline Nd3Sb2As at its relaxed geometry (PBE, Alexandria via LeMat-Bulk).

```
data_Nd3Sb2As
_chemical_formula_sum 'Nd6 Sb4 As2'
_cell_length_a 4.424
_cell_length_b 6.292
_cell_length_c 13.365
_cell_angle_alpha 90.00
_cell_angle_beta 90.00
_cell_angle_gamma 90.00
_symmetry_space_group_name_H-M 'I m m m'
_symmetry_Int_Tables_number 71
_symmetry_space_group_name_Hall '-I 2 2'
loop_
_atom_site_label
_atom_site_type_symbol
_atom_site_fract_x
_atom_site_fract_y
_atom_site_fract_z
Nd1 Nd 0.000 0.000 0.000
Nd2 Nd 0.000 0.000 0.343
Sb1 Sb 0.000 0.500 0.330
As1 As 0.000 0.500 0.000
```

Results
V: 31.003 A^3/atom
Theoretical density: 6.71 g/cm³
D(E_F): 0.1953 states/eV/atom



Q) # Nd3Sb2As

Crystalline Nd3Sb2As at its relaxed geometry (PBE, Alexandria via LeMat-Bulk).

```
data_Nd3Sb2As
_chemical_formula_sum 'Nd48 Sb32 As16'
_cell_length_a 8.897
_cell_length_b 12.569
_cell_length_c 26.599
_cell_angle_alpha 90.00
_cell_angle_beta 90.00
_cell_angle_gamma 90.00
_symmetry_space_group_name_H-M 'F d d d'
_symmetry_Int_Tables_number 70
loop_
_symmetry_equiv_pos_as_xyz
'x,y,z'
'-x,-y,-z'
'-x+1/4,-y+1/4,z'
'x+1/4,y+1/4,-z'
'x,-y+1/4,-z+1/4'
'-x,y+1/4,z+1/4'
'-x+1/4,y,-z+1/4'
'x+1/4,-y,z+1/4'
'x,y+1/2,z+1/2'
'-x,-y+1/2,-z+1/2'
'-x+1/4,-y+3/4,z+1/2'
'x+1/4,y+3/4,-z+1/2'
'x,-y+3/4,-z+3/4'
'-x,y+3/4,z+3/4'
'-x+1/4,y+1/2,-z+3/4'
'x+1/4,-y+1/2,z+3/4'
'x+1/2,y,z+1/2'
'-x+1/2,-y,-z+1/2'
'-x+3/4,-y+1/4,z+1/2'
'x+3/4,y+1/4,-z+1/2'
'x+1/2,-y+1/4,-z+3/4'
'-x+1/2,y+1/4,z+3/4'
'-x+3/4,y,-z+3/4'
'x+3/4,-y,z+3/4'
'x+1/2,y+1/2,z'
'-x+1/2,-y+1/2,-z'
'-x+3/4,-y+3/4,z'
'x+3/4,y+3/4,-z'
'x+1/2,-y+3/4,-z+1/4'
'-x+1/2,y+3/4,z+1/4'
'-x+3/4,y+1/2,-z+1/4'
'x+3/4,-y+1/2,z+1/4'
loop_
_atom_site_label
_atom_site_type_symbol
_atom_site_fract_x
_atom_site_fract_y
_atom_site_fract_z
Nd1 Nd 0.112 0.375 0.375
Nd2 Nd 0.119 0.370 0.211
Sb1 Sb 0.125 0.125 0.376
Sb2 Sb 0.125 0.125 0.543
As1 As 0.125 0.125 0.042
```

Results
V: 30.985 A^3/atom
Theoretical density: 6.71 g/cm³
D(E_F): 0.0940 states/eV/atom



Relative energies in meV per atom: P) 6; Q) 0



P) # NdAsSe3

Crystalline NdAsSe3 at its relaxed geometry (PBE, Alexandria via LeMat-Bulk).

```
data_NdAsSe3
_chemical_formula_sum 'Nd4 As4 Se12'
_cell_length_a 8.261
_cell_length_b 4.137
_cell_length_c 14.085
_cell_angle_alpha 90.00
_cell_angle_beta 90.00
_cell_angle_gamma 90.00
_symmetry_space_group_name_H-M 'P n m a'
_symmetry_Int_Tables_number 62
_symmetry_space_group_name_Hall '-P 2ac 2n'
loop_
_atom_site_label
_atom_site_type_symbol
_atom_site_fract_x
_atom_site_fract_y
_atom_site_fract_z
Nd1 Nd 0.096 0.250 0.167
As1 As 0.155 0.750 0.439
Se1 Se 0.024 0.750 0.627
Se2 Se 0.149 0.750 0.004
Se3 Se 0.184 0.250 0.785
```

Results
V: 24.068 A^3/atom
Theoretical density: 6.29 g/cm³
D(E_F): 0.0103 states/eV/atom



Q) # NdAsSe3

Crystalline NdAsSe3 at its relaxed geometry (PBE, Alexandria via LeMat-Bulk).

```
data_NdAsSe3
_chemical_formula_sum 'Nd4 As4 Se12'
_cell_length_a 16.916
_cell_length_b 4.108
_cell_length_c 8.041
_cell_angle_alpha 90.00
_cell_angle_beta 98.66
_cell_angle_gamma 90.00
_symmetry_space_group_name_H-M 'C 1 2/m 1'
_symmetry_Int_Tables_number 12
_symmetry_space_group_name_Hall '-C 2y'
loop_
_atom_site_label
_atom_site_type_symbol
_atom_site_fract_x
_atom_site_fract_y
_atom_site_fract_z
Nd1 Nd 0.205 0.000 0.250
As1 As 0.062 0.500 0.723
Se1 Se 0.022 0.000 0.219
Se2 Se 0.160 0.500 0.982
Se3 Se 0.179 0.000 0.609
```

Results
V: 27.617 A^3/atom
Theoretical density: 5.48 g/cm³
D(E_F): 0.0023 states/eV/atom



Relative energies in meV per atom: P) 0; Q) 87



P) # Nd2SiAs

Crystalline Nd2SiAs at its relaxed geometry (PBE, Alexandria via LeMat-Bulk).

```
data_Nd2SiAs
_chemical_formula_sum 'Nd8 Si4 As4'
_cell_length_a 4.379
_cell_length_b 23.573
_cell_length_c 4.074
_cell_angle_alpha 90.00
_cell_angle_beta 90.00
_cell_angle_gamma 90.00
_symmetry_space_group_name_H-M 'C m c m'
_symmetry_Int_Tables_number 63
_symmetry_space_group_name_Hall '-C 2c 2'
loop_
_atom_site_label
_atom_site_type_symbol
_atom_site_fract_x
_atom_site_fract_y
_atom_site_fract_z
Nd1 Nd 0.000 0.065 0.250
Nd2 Nd 0.000 0.313 0.250
Si1 Si 0.000 0.466 0.250
As1 As 0.000 0.188 0.250
```

Results
V: 26.283 A^3/atom
Theoretical density: 6.18 g/cm³
D(E_F): 0.4347 states/eV/atom



Q) # Nd2SiAs

Crystalline Nd2SiAs at its relaxed geometry (PBE, Alexandria via LeMat-Bulk).

```
data_Nd2SiAs
_chemical_formula_sum 'Nd6 Si3 As3'
_cell_length_a 4.1905
_cell_length_b 4.1905
_cell_length_c 21.6342
_cell_angle_alpha 90.00
_cell_angle_beta 90.00
_cell_angle_gamma 120.00
_symmetry_space_group_name_H-M 'R -3 m'
_symmetry_Int_Tables_number 166
_symmetry_space_group_name_Hall '-R 3 2"'
loop_
_atom_site_label
_atom_site_type_symbol
_atom_site_fract_x
_atom_site_fract_y
_atom_site_fract_z
Nd1 Nd 0.0000 0.0000 0.2481
Si1 Si 0.0000 0.0000 0.0000
As1 As 0.0000 0.0000 0.5000
```

Results
V: 27.417 A^3/atom
Theoretical density: 5.93 g/cm³
D(E_F): 0.5045 states/eV/atom



Relative energies in meV per atom: P) 0; Q) 147



P) # Nd3Te2As

Crystalline Nd3Te2As at its relaxed geometry (PBE, Alexandria via LeMat-Bulk).

```
data_Nd3Te2As
_chemical_formula_sum 'Nd12 Te8 As4'
_cell_length_a 7.763
_cell_length_b 13.239
_cell_length_c 7.613
_cell_angle_alpha 90.00
_cell_angle_beta 109.54
_cell_angle_gamma 90.00
_symmetry_space_group_name_H-M 'C 1 2/c 1'
_symmetry_Int_Tables_number 15
_symmetry_space_group_name_Hall '-C 2yc'
loop_
_atom_site_label
_atom_site_type_symbol
_atom_site_fract_x
_atom_site_fract_y
_atom_site_fract_z
Nd1 Nd 0.218 0.074 0.496
Nd2 Nd 0.250 0.250 0.000
Te1 Te 0.000 0.258 0.250
Te2 Te 0.000 0.419 0.750
As1 As 0.000 0.089 0.750
```

Results
V: 30.724 A^3/atom
Theoretical density: 6.87 g/cm³
D(E_F): 0.5168 states/eV/atom



Q) # Nd3Te2As

Crystalline Nd3Te2As at its relaxed geometry (PBE, Alexandria via LeMat-Bulk).

```
data_Nd3Te2As
_chemical_formula_sum 'Nd12 Te8 As4'
_cell_length_a 7.629
_cell_length_b 13.189
_cell_length_c 7.762
_cell_angle_alpha 90.00
_cell_angle_beta 109.11
_cell_angle_gamma 90.00
_symmetry_space_group_name_H-M 'C 1 2/m 1'
_symmetry_Int_Tables_number 12
_symmetry_space_group_name_Hall '-C 2y'
loop_
_atom_site_label
_atom_site_type_symbol
_atom_site_fract_x
_atom_site_fract_y
_atom_site_fract_z
Nd1 Nd 0.222 0.000 0.223
Nd2 Nd 0.247 0.176 0.773
Te1 Te 0.000 0.000 0.500
Te2 Te 0.000 0.339 0.500
Te3 Te 0.000 0.500 0.000
As1 As 0.000 0.168 0.000
```

Results
V: 30.751 A^3/atom
Theoretical density: 6.87 g/cm³
D(E_F): 0.4662 states/eV/atom



Relative energies in meV per atom: P) 18; Q) 0



P) # NdThAs2

Crystalline NdThAs2 at its relaxed geometry (PBE, Alexandria via LeMat-Bulk).

```
data_NdThAs2
_chemical_formula_sum 'Nd3 Th3 As6'
_cell_length_a 4.2081
_cell_length_b 4.2081
_cell_length_c 21.8565
_cell_angle_alpha 90.00
_cell_angle_beta 90.00
_cell_angle_gamma 120.00
_symmetry_space_group_name_H-M 'R 3 m'
_symmetry_Int_Tables_number 160
_symmetry_space_group_name_Hall 'R 3 -2"'
loop_
_atom_site_label
_atom_site_type_symbol
_atom_site_fract_x
_atom_site_fract_y
_atom_site_fract_z
Nd1 Nd 0.0000 0.0000 0.0000
Th1 Th 0.0000 0.0000 0.1736
As1 As 0.0000 0.0000 0.5854
As2 As 0.0000 0.0000 0.7566
```

Results
V: 27.931 A^3/atom
Theoretical density: 7.82 g/cm³
D(E_F): 0.7250 states/eV/atom



Q) # NdThAs2

Crystalline NdThAs2 at its relaxed geometry (PBE, Alexandria via LeMat-Bulk).

```
data_NdThAs2
_chemical_formula_sum 'Nd2 Th2 As4'
_cell_length_a 4.2408
_cell_length_b 4.2408
_cell_length_c 14.0788
_cell_angle_alpha 90.00
_cell_angle_beta 90.00
_cell_angle_gamma 120.00
_symmetry_space_group_name_H-M 'P 63/m m c'
_symmetry_Int_Tables_number 194
_symmetry_space_group_name_Hall '-P 6c 2c'
loop_
_atom_site_label
_atom_site_type_symbol
_atom_site_fract_x
_atom_site_fract_y
_atom_site_fract_z
Nd1 Nd 0.3333 0.6667 0.2500
Th1 Th 0.0000 0.0000 0.0000
As1 As 0.3333 0.6667 0.6215
```

Results
V: 27.409 A^3/atom
Theoretical density: 7.97 g/cm³
D(E_F): 0.5840 states/eV/atom



R) # NdThAs2

Crystalline NdThAs2 at its relaxed geometry (PBE, Alexandria via LeMat-Bulk).

```
data_NdThAs2
_chemical_formula_sum 'Nd3 Th3 As6'
_cell_length_a 4.2654
_cell_length_b 4.2654
_cell_length_c 20.8522
_cell_angle_alpha 90.00
_cell_angle_beta 90.00
_cell_angle_gamma 120.00
_symmetry_space_group_name_H-M 'R -3 m'
_symmetry_Int_Tables_number 166
_symmetry_space_group_name_Hall '-R 3 2"'
loop_
_atom_site_label
_atom_site_type_symbol
_atom_site_fract_x
_atom_site_fract_y
_atom_site_fract_z
Nd1 Nd 0.0000 0.0000 0.0000
Th1 Th 0.0000 0.0000 0.5000
As1 As 0.0000 0.0000 0.2488
```

Results
V: 27.382 A^3/atom
Theoretical density: 7.98 g/cm³
D(E_F): 0.4665 states/eV/atom



Relative energies in meV per atom: P) 142; Q) 37; R) 0